(1)
Compound: GeAsH2Se
Source: the Alexandria database
Functional: PBE
Structure: optimized geometry

Results
- N(E_F) (states/eV/f.u.) = 1.27
- energy relative to the lowest polymorph listed for this composition (meV/atom) = 99
- space group = No. 8
- E (eV/cell) = -37.69
- calculated volume (A^3/atom) = 18.955

POSCAR file:
```
GeAsH2Se
1.0
-6.454 1.016 3.997
0.339 -3.143 1.347
4.185 2.690 5.226
Ge As H Se
2 2 4 2
direct
0.432 0.000 0.556
0.432 0.500 0.056
0.746 0.000 0.851
0.746 0.500 0.351
0.895 0.000 0.716
0.895 0.500 0.216
0.876 0.000 0.022
0.876 0.500 0.522
0.255 0.000 0.218
0.255 0.500 0.718
```

=====

(2)
Compound: Fe2Co
Source: the Alexandria database
Functional: PBE
Structure: optimized geometry

Results
- N(E_F) (states/eV/f.u.) = 1.86
- space group = No. 11
- E (eV/cell) = -48.14
- calculated volume (A^3/atom) = 11.501
- energy of formation (kJ per mole of atoms) = -1

POSCAR file:
```
Fe2Co
1.0
4.019 0.000 0.000
0.000 2.465 -0.027
0.000 0.031 6.964
Fe Co
4 2
direct
0.250 0.500 0.245
0.750 0.161 0.417
0.250 0.839 0.583
0.750 0.500 0.755
0.250 0.175 0.915
0.750 0.825 0.085
```